[1]
VASP calculation (PBE) on crystalline Tm2HfMg at its relaxed geometry.

abc: 3.367 3.367 9.256
angles: 90.00 90.00 90.00
Fractional positions:
Tm  0.000  0.000  0.742
Tm  0.000  0.000  0.258
Hf  0.500  0.500  0.500
Mg  0.500  0.500  0.000

DFT total energy   -5.12 eV per atom
E_form   0 meV per atom
SG   P4/mmm

***

[2]
VASP calculation (PBE) on crystalline Tm2HfMg at its relaxed geometry.

abc: 3.422 5.503 5.503
angles: 90.00 90.00 90.00
Fractional positions:
Tm  0.000  0.000  0.500
Tm  0.000  0.500  0.000
Mg  0.500  0.000  0.000
Hf  0.500  0.500  0.500

DFT total energy   -4.97 eV per atom
E_form   152 meV per atom
SG   P4/mmm

***

[3]
VASP calculation (PBE) on crystalline Tm2HfMg at its relaxed geometry.

abc: 3.345 3.345 11.095
angles: 81.33 81.33 60.00
Fractional positions:
Tm  0.754  0.754  0.739
Tm  0.246  0.246  0.261
Mg  0.000  0.000  0.000
Hf  0.500  0.500  0.500

DFT total energy   -5.06 eV per atom
E_form   58 meV per atom
SG   R-3m

***

[4]
VASP calculation (PBE) on crystalline Tm2HfMg at its relaxed geometry.

abc: 3.337 3.337 11.136
angles: 81.38 81.38 60.00
Fractional positions:
Mg  0.500  0.500  0.500
Tm  0.254  0.254  0.238
Tm  0.079  0.079  0.762
Hf  0.667  0.667  0.000

DFT total energy   -5.05 eV per atom
E_form   72 meV per atom
SG   R3m

***

[5]
VASP calculation (PBE) on crystalline TmHfMgZn at its relaxed geometry.

abc: 4.947 4.947 4.947
angles: 60.00 60.00 60.00
Fractional positions:
Zn  0.000  0.000  0.000
Tm  0.750  0.750  0.750
Hf  0.250  0.250  0.250
Mg  0.500  0.500  0.500

DFT total energy   -4.33 eV per atom
E_form   -8 meV per atom
SG   F-43m

***

[6]
VASP calculation (PBE) on crystalline HfMg14V at its relaxed geometry.

abc: 6.362 6.362 10.110
angles: 90.00 90.00 120.00
Last column: magnetic moment on the atom in μB.
Fractional positions:
Mg  0.667  0.333  0.742  0.00
Mg  0.008  0.504  0.500  0.00
Mg  0.496  0.992  0.500  0.00
Mg  0.676  0.838  0.248  0.00
Mg  0.500  0.001  0.000  -0.01
Mg  0.162  0.324  0.248  0.00
Mg  0.162  0.838  0.752  0.00
Mg  0.500  0.500  0.000  -0.01
Mg  0.667  0.333  0.258  0.00
Mg  0.162  0.324  0.752  0.00
Mg  0.676  0.838  0.752  0.00
Mg  0.496  0.504  0.500  0.00
Mg  0.999  0.500  0.000  -0.01
Mg  0.162  0.838  0.248  0.00
V  0.000  0.000  0.000  2.74
Hf  0.000  0.000  0.500  0.14

DFT total energy   -2.47 eV per atom
E_form   122 meV per atom
SG   P-6m2